YAlCo2O: optimized geometry, PBE with a Hubbard U.

Cell: 4.6654 4.6654 5.8378 Å, 90.00 90.00 90.00°
Last column: nearest neighbours and their distance in Å.
Positions (direct):
Y  0.0000  0.0000  0.0000  4 Co 2.33
Al  0.0000  0.0000  0.5000  2 Y 2.92
Co  0.0000  0.5000  0.0000  2 Y 2.33
Co  0.5000  0.0000  0.0000  2 Y 2.33
O  0.5000  0.5000  0.5000  4 Al 3.30

Summary:
- V: 25.4 Å³/atom
- Total DFT energy (no corrections): -3.1833 eV/atom
- SG: No. 123